Below is a geometry-optimized CsAg5Se3 structure, with properties calculated at the PBE level.

E_form (uncorrected) in eV/atom: -0.32

a = 14.3021 Å, b = 14.3021 Å, c = 4.4529 Å
α = 90.00°, β = 90.00°, γ = 90.00°
Last column: nearest neighbours and their distance in Å.
Space group P4_2/mnm (No. 136)
Asymmetric unit:
Cs  0.1147  0.1147  0.0000 (multiplicity 4)  8 Se 3.79-3.80, 4 Ag 4.20-4.22
Ag  0.0166  0.3918  0.0000 (multiplicity 8)  3 Se 2.67-2.80, 1 Ag 2.92
Ag  0.0757  0.7182  0.5000 (multiplicity 8)  2 Se 2.63-2.85, 1 Ag 2.92
Ag  0.1745  0.8255  0.0000 (multiplicity 4)  4 Se 2.70-2.97
Se  0.0994  0.9006  0.5000 (multiplicity 4)  4 Ag 2.63-2.70
Se  0.1180  0.3300  0.5000 (multiplicity 8)  7 Ag 2.67-2.97

Below is a geometry-optimized AgSNF2 structure, with properties calculated at the PBE level.

E_form (uncorrected) in eV/atom: 0.74

a = 4.1520 Å, b = 4.1520 Å, c = 4.3706 Å
α = 90.00°, β = 90.00°, γ = 90.00°
Last column: nearest neighbours and their distance in Å.
Space group P4/mmm (No. 123)
Asymmetric unit:
Ag  0.0000  0.0000  0.0000 (multiplicity 1)  4 F 2.08, 2 N 2.19
S  0.5000  0.5000  0.5000 (multiplicity 1)  4 N 2.94, 8 F 3.01
N  0.0000  0.0000  0.5000 (multiplicity 1)  2 Ag 2.19
F  0.0000  0.5000  0.0000 (multiplicity 2)  2 Ag 2.08

Below is a geometry-optimized ThB14Mo structure, with properties calculated at the PBE level.

ΔH_f (0 K) in eV/atom: -0.111

a = 5.8941 Å, b = 11.0756 Å, c = 8.2420 Å
α = 90.00°, β = 90.00°, γ = 90.00°
Last column: nearest neighbours and their distance in Å.
Space group Imma (No. 74)
Asymmetric unit:
Th  0.0000  0.2500  0.1230 (multiplicity 4)  6 B 2.56-2.83
B  0.0000  0.0789  0.6714 (multiplicity 8)  5 B 1.68-1.85
B  0.0000  0.1176  0.8682 (multiplicity 8)  3 B 1.68-1.70
B  0.0000  0.1677  0.4722 (multiplicity 8)  6 B 1.82-1.91
B  0.1613  0.0644  0.3401 (multiplicity 16)  6 B 1.82-1.90
B  0.2467  0.0753  0.5513 (multiplicity 16)  6 B 1.70-1.89
Mo  0.2500  0.2500  0.7500 (multiplicity 4)  12 B 2.30-2.54

Below is a geometry-optimized Ac8In3Ru structure, with properties calculated at the PBE level.

ΔH_f (0 K) in eV/atom: -0.097

a = 7.8481 Å, b = 7.8481 Å, c = 15.7140 Å
α = 90.00°, β = 90.00°, γ = 90.00°
Last column: nearest neighbours and their distance in Å.
Space group I4/mmm (No. 139)
Asymmetric unit:
Ac  0.2376  0.2376  0.1183 (multiplicity 16)  1 Ru 3.23, 3 In 3.46
In  0.0000  0.0000  0.5000 (multiplicity 2)  8 Ac 3.46
In  0.0000  0.5000  0.2500 (multiplicity 4)  8 Ac 3.46
Ru  0.0000  0.0000  0.0000 (multiplicity 2)  8 Ac 3.23

Below is a geometry-optimized PrGa2Co structure, with properties calculated at the PBE level.

ΔH_f (0 K) in eV/atom: -0.487

a = 6.7262 Å, b = 4.3551 Å, c = 10.5022 Å
α = 90.00°, β = 90.00°, γ = 90.00°
Last column: nearest neighbours and their distance in Å.
Space group Pnma (No. 62)
Asymmetric unit:
Pr  0.1885  0.2500  0.1251 (multiplicity 4)  3 Co 3.10-3.13, 10 Ga 3.11-3.40
Ga  0.1432  0.2500  0.8067 (multiplicity 4)  2 Co 2.40-2.44
Ga  0.1881  0.2500  0.4235 (multiplicity 4)  3 Co 2.37-2.47
Co  0.0217  0.7500  0.3955 (multiplicity 4)  5 Ga 2.37-2.47

Below is a geometry-optimized PmDyY2Sc structure, with properties calculated at the PBE level.

ΔH_f (0 K) in eV/atom: 0.335

a = 8.2204 Å, b = 11.2500 Å, c = 7.1293 Å
α = 90.00°, β = 90.00°, γ = 90.00°
Last column: nearest neighbours and their distance in Å.
Space group Cmcm (No. 63)
Asymmetric unit:
Pm  0.0000  0.2318  0.2500 (multiplicity 4)  1 Sc 2.97
Dy  0.0000  0.2344  0.7500 (multiplicity 4)  1 Sc 3.04
Y  0.1979  0.0000  0.0000 (multiplicity 8)  2 Sc 3.06, 1 Y 3.25
Sc  0.0000  0.4955  0.2500 (multiplicity 4)  1 Pm 2.97, 1 Dy 3.04, 4 Y 3.06

Below is a geometry-optimized TcAgMo2 structure, with properties calculated at the PBE level.

ΔH_f (0 K) in eV/atom: 0.419

a = 5.5252 Å, b = 8.9983 Å, c = 2.6540 Å
α = 90.00°, β = 105.93°, γ = 90.00°
Last column: nearest neighbours and their distance in Å.
Space group C2/m (No. 12)
Asymmetric unit:
Tc  0.0000  0.0000  0.0000 (multiplicity 2)  2 Tc 2.65, 2 Ag 2.76, 4 Mo 2.78
Ag  0.0000  0.5000  0.0000 (multiplicity 2)  2 Ag 2.65, 2 Tc 2.76, 4 Mo 2.78
Mo  0.2500  0.2500  0.5000 (multiplicity 4)  4 Mo 2.65-2.76, 2 Tc 2.78, 2 Ag 2.78

Below is a geometry-optimized CoP2 structure, with properties calculated at the PBE level.

ΔH_f (0 K) in eV/atom: -0.010

a = 6.5002 Å, b = 6.5002 Å, c = 3.0296 Å
α = 90.00°, β = 90.00°, γ = 120.00°
Last column: nearest neighbours and their distance in Å.
Space group P-62m (No. 189)
Asymmetric unit:
Co  0.0000  0.0000  0.0000 (multiplicity 1)  6 P 2.38
Co  0.3333  0.6667  0.5000 (multiplicity 2)  9 P 2.35-2.44
P  0.0000  0.2821  0.5000 (multiplicity 3)  4 Co 2.35-2.38, 2 P 2.37
P  0.0000  0.5618  0.0000 (multiplicity 3)  2 P 2.37, 4 Co 2.44

Number 1: volume 228 Å³/f.u., energy -3.16 eV per atom. Number 2: volume 75 Å³/f.u., energy -3.07 eV per atom. Number 3: volume 135 Å³/f.u., energy -7.09 eV per atom. Number 4: volume 484 Å³/f.u., energy -4.29 eV per atom. Number 5: volume 77 Å³/f.u., energy -4.97 eV per atom. Number 6: volume 165 Å³/f.u., energy -5.39 eV per atom. Number 7: volume 63 Å³/f.u., energy -8.30 eV per atom. Number 8: volume 37 Å³/f.u., energy -5.99 eV per atom.